Entry 1:
DFT (PBE-GGA) results for a relaxed MgTl2Si crystal.

```
data_MgTl2Si
_cell_length_a 10.487
_cell_length_b 3.376
_cell_length_c 5.637
_cell_angle_alpha 90.00
_cell_angle_beta 102.81
_cell_angle_gamma 90.00
_space_group_name_H-M_alt 'C 1 2/m 1'
_space_group_IT_number 12
loop_
_space_group_symop_operation_xyz
'x,y,z'
'-x,-y,-z'
'-x,y,-z'
'x,-y,z'
'x+1/2,y+1/2,z'
'-x+1/2,-y+1/2,-z'
'-x+1/2,y+1/2,-z'
'x+1/2,-y+1/2,z'
loop_
_atom_site_label
_atom_site_type_symbol
_atom_site_fract_x
_atom_site_fract_y
_atom_site_fract_z
Mg1 Mg 0.000 0.000 0.000
Tl1 Tl 0.244 0.000 0.743
Si1 Si 0.000 0.500 0.500
```

## Properties
DOS at the Fermi energy ... 0.512 states/eV/atom
Formation energy without anion corrections ... 0.29 eV/atom
E ... -21.216 eV/cell

***

Entry 2:
DFT (PBE-GGA) results for a relaxed MgTl2Si crystal.

```
data_MgTl2Si
_cell_length_a 4.424
_cell_length_b 4.424
_cell_length_c 9.809
_cell_angle_alpha 90.00
_cell_angle_beta 90.00
_cell_angle_gamma 90.00
_space_group_name_H-M_alt 'I -4 m 2'
_space_group_IT_number 119
_space_group_name_Hall 'I -4 -2'
loop_
_atom_site_label
_atom_site_type_symbol
_atom_site_fract_x
_atom_site_fract_y
_atom_site_fract_z
Mg1 Mg 0.000 0.000 0.000
Tl1 Tl 0.000 0.000 0.500
Tl2 Tl 0.000 0.500 0.250
Si1 Si 0.000 0.500 0.750
```

## Properties
DOS at the Fermi energy ... 0.296 states/eV/atom
Formation energy without anion corrections ... 0.28 eV/atom
E ... -21.274 eV/cell

***

Entry 3:
DFT (PBE-GGA) results for a relaxed Mg2TlSi crystal.

```
data_Mg2TlSi
_cell_length_a 3.4258
_cell_length_b 3.4258
_cell_length_c 26.1296
_cell_angle_alpha 90.00
_cell_angle_beta 90.00
_cell_angle_gamma 120.00
_space_group_name_H-M_alt 'R -3 m'
_space_group_IT_number 166
_space_group_name_Hall '-R 3 2"'
loop_
_atom_site_label
_atom_site_type_symbol
_atom_site_fract_x
_atom_site_fract_y
_atom_site_fract_z
Mg1 Mg 0.0000 0.0000 0.2392
Tl1 Tl 0.0000 0.0000 0.0000
Si1 Si 0.0000 0.0000 0.5000
```

## Properties
DOS at the Fermi energy ... 0.243 states/eV/atom
Formation energy without anion corrections ... 0.09 eV/atom
E ... -31.815 eV/cell

***

Entry 4:
DFT (PBE-GGA) results for a relaxed MgTl2Si crystal.

```
data_MgTl2Si
_cell_length_a 3.308
_cell_length_b 5.247
_cell_length_c 11.415
_cell_angle_alpha 90.00
_cell_angle_beta 90.00
_cell_angle_gamma 90.00
_space_group_name_H-M_alt 'I m m 2'
_space_group_IT_number 44
loop_
_space_group_symop_operation_xyz
'x,y,z'
'-x,-y,z'
'-x,y,z'
'x,-y,z'
'x+1/2,y+1/2,z+1/2'
'-x+1/2,-y+1/2,z+1/2'
'-x+1/2,y+1/2,z+1/2'
'x+1/2,-y+1/2,z+1/2'
loop_
_atom_site_label
_atom_site_type_symbol
_atom_site_fract_x
_atom_site_fract_y
_atom_site_fract_z
Mg1 Mg 0.000 0.000 0.000
Tl1 Tl 0.000 0.000 0.430
Tl2 Tl 0.000 0.500 0.224
Si1 Si 0.000 0.500 0.697
```

## Properties
DOS at the Fermi energy ... 0.564 states/eV/atom
Formation energy without anion corrections ... 0.25 eV/atom
E ... -21.540 eV/cell

***

Entry 5:
DFT (PBE-GGA) results for a relaxed Mg2TlSi crystal.

```
data_Mg2TlSi
_cell_length_a 6.375
_cell_length_b 7.930
_cell_length_c 3.373
_cell_angle_alpha 90.00
_cell_angle_beta 91.04
_cell_angle_gamma 90.00
_space_group_name_H-M_alt 'C 1 2/m 1'
_space_group_IT_number 12
loop_
_space_group_symop_operation_xyz
'x,y,z'
'-x,-y,-z'
'-x,y,-z'
'x,-y,z'
'x+1/2,y+1/2,z'
'-x+1/2,-y+1/2,-z'
'-x+1/2,y+1/2,-z'
'x+1/2,-y+1/2,z'
loop_
_atom_site_label
_atom_site_type_symbol
_atom_site_fract_x
_atom_site_fract_y
_atom_site_fract_z
Mg1 Mg 0.250 0.250 0.000
Tl1 Tl 0.000 0.000 0.500
Si1 Si 0.000 0.500 0.500
```

## Properties
DOS at the Fermi energy ... 0.270 states/eV/atom
Formation energy without anion corrections ... 0.11 eV/atom
E ... -21.080 eV/cell

***

Entry 6:
DFT (PBE-GGA) results for a relaxed Mg2TlSi crystal.

```
data_Mg2TlSi
_cell_length_a 3.250
_cell_length_b 3.250
_cell_length_c 8.102
_cell_angle_alpha 90.00
_cell_angle_beta 90.00
_cell_angle_gamma 90.00
_space_group_name_H-M_alt 'P 4/m m m'
_space_group_IT_number 123
_space_group_name_Hall '-P 4 2'
loop_
_atom_site_label
_atom_site_type_symbol
_atom_site_fract_x
_atom_site_fract_y
_atom_site_fract_z
Mg1 Mg 0.000 0.000 0.214
Tl1 Tl 0.500 0.500 0.500
Si1 Si 0.500 0.500 0.000
```

## Properties
DOS at the Fermi energy ... 0.322 states/eV/atom
Formation energy without anion corrections ... 0.05 eV/atom
E ... -10.771 eV/cell

***

Entry 7:
DFT (PBE-GGA) results for a relaxed Mg2TlSi crystal.

```
data_Mg2TlSi
_cell_length_a 4.672
_cell_length_b 4.672
_cell_length_c 3.911
_cell_angle_alpha 90.00
_cell_angle_beta 90.00
_cell_angle_gamma 90.00
_space_group_name_H-M_alt 'P 4/m m m'
_space_group_IT_number 123
_space_group_name_Hall '-P 4 2'
loop_
_atom_site_label
_atom_site_type_symbol
_atom_site_fract_x
_atom_site_fract_y
_atom_site_fract_z
Mg1 Mg 0.000 0.500 0.000
Tl1 Tl 0.000 0.000 0.500
Si1 Si 0.500 0.500 0.500
```

## Properties
DOS at the Fermi energy ... 0.297 states/eV/atom
Formation energy without anion corrections ... 0.10 eV/atom
E ... -10.568 eV/cell

***

Entry 8:
DFT (PBE-GGA) results for a relaxed Mg2TlSi crystal.

```
data_Mg2TlSi
_cell_length_a 7.118
_cell_length_b 7.118
_cell_length_c 7.118
_cell_angle_alpha 90.00
_cell_angle_beta 90.00
_cell_angle_gamma 90.00
_space_group_name_H-M_alt 'F -4 3 m'
_space_group_IT_number 216
_space_group_name_Hall 'F -4 2 3'
loop_
_atom_site_label
_atom_site_type_symbol
_atom_site_fract_x
_atom_site_fract_y
_atom_site_fract_z
Mg1 Mg 0.000 0.000 0.000
Mg2 Mg 0.250 0.250 0.250
Tl1 Tl 0.000 0.000 0.500
Si1 Si 0.250 0.250 0.750
```

## Properties
DOS at the Fermi energy ... 0.370 states/eV/atom
Formation energy without anion corrections ... 0.26 eV/atom
E ... -39.704 eV/cell